Entry from OQMD: Nd3InS6 after structural relaxation (PBE).

Properties
The value obtained for the uncorrected energy is -5.8760 eV per atom. Its symmetry is P2_12_12, No. 18. The magnetic moment comes out at 0.000 μB per atom.

The structure in CIF format:
```
data_Nd3InS6
_chemical_formula_sum 'Nd12 In4 S24'
_space_group_name_H-M_alt 'P 1'
_space_group_IT_number 1
_space_group_name_Hall 'P 1'
_cell_length_a 13.822
_cell_length_b 16.860
_cell_length_c 4.003
_cell_angle_alpha 90.00
_cell_angle_beta 90.00
_cell_angle_gamma 90.00
loop_
_atom_site_label
_atom_site_fract_x
_atom_site_fract_y
_atom_site_fract_z
_atom_site_occupancy
In1 0.500 0.000 0.101 1
In2 0.000 0.500 0.899 1
In3 0.000 0.000 0.746 1
In4 0.500 0.500 0.254 1
Nd1 0.964 0.277 0.247 1
Nd2 0.248 0.891 0.240 1
Nd3 0.252 0.391 0.760 1
Nd4 0.752 0.109 0.240 1
Nd5 0.692 0.357 0.754 1
Nd6 0.192 0.143 0.246 1
Nd7 0.748 0.609 0.760 1
Nd8 0.808 0.857 0.246 1
Nd9 0.036 0.723 0.247 1
Nd10 0.536 0.777 0.753 1
Nd11 0.308 0.643 0.754 1
Nd12 0.464 0.223 0.753 1
S1 0.115 0.244 0.747 1
S2 0.394 0.112 0.251 1
S3 0.822 0.217 0.743 1
S4 0.615 0.256 0.253 1
S5 0.521 0.603 0.755 1
S6 0.385 0.744 0.253 1
S7 0.021 0.897 0.245 1
S8 0.479 0.397 0.755 1
S9 0.885 0.756 0.747 1
S10 0.602 0.090 0.735 1
S11 0.322 0.283 0.257 1
S12 0.178 0.783 0.743 1
S13 0.106 0.612 0.749 1
S14 0.979 0.103 0.245 1
S15 0.190 0.018 0.745 1
S16 0.398 0.910 0.735 1
S17 0.810 0.982 0.745 1
S18 0.678 0.717 0.257 1
S19 0.102 0.410 0.265 1
S20 0.690 0.482 0.255 1
S21 0.606 0.888 0.251 1
S22 0.898 0.590 0.265 1
S23 0.310 0.518 0.255 1
S24 0.894 0.388 0.749 1
```

=====

Entry from OQMD: Nd4In5S13 after structural relaxation (PBE).

Properties
The value obtained for the uncorrected energy is -5.1443 eV per atom. Its symmetry is Pbam, No. 55. The magnetic moment comes out at 0.000 μB per atom.

The structure in CIF format:
```
data_Nd4In5S13
_chemical_formula_sum 'Nd8 In10 S26'
_space_group_name_H-M_alt 'P 1'
_space_group_IT_number 1
_space_group_name_Hall 'P 1'
_cell_length_a 11.983
_cell_length_b 21.654
_cell_length_c 3.968
_cell_angle_alpha 90.00
_cell_angle_beta 90.00
_cell_angle_gamma 90.00
loop_
_atom_site_label
_atom_site_fract_x
_atom_site_fract_y
_atom_site_fract_z
_atom_site_occupancy
S1 0.703 0.977 0.000 1
S2 0.921 0.261 0.500 1
S3 0.669 0.239 0.000 1
S4 0.502 0.909 0.500 1
S5 0.297 0.023 0.000 1
S6 0.838 0.113 0.500 1
S7 0.849 0.867 0.500 1
S8 0.331 0.761 0.000 1
S9 0.421 0.239 0.500 1
S10 0.338 0.387 0.500 1
S11 0.162 0.887 0.500 1
S12 0.002 0.591 0.500 1
S13 0.079 0.739 0.500 1
S14 0.151 0.133 0.500 1
S15 0.651 0.367 0.500 1
S16 0.831 0.739 0.000 1
S17 0.500 0.500 0.000 1
S18 0.169 0.261 0.000 1
S19 0.349 0.633 0.500 1
S20 0.000 0.000 0.000 1
S21 0.998 0.409 0.500 1
S22 0.203 0.523 0.000 1
S23 0.662 0.613 0.500 1
S24 0.579 0.761 0.500 1
S25 0.797 0.477 0.000 1
S26 0.498 0.091 0.500 1
In1 0.655 0.493 0.500 1
In2 0.000 0.500 0.000 1
In3 0.654 0.170 0.500 1
In4 0.845 0.993 0.500 1
In5 0.155 0.007 0.500 1
In6 0.345 0.507 0.500 1
In7 0.346 0.830 0.500 1
In8 0.500 0.000 0.000 1
In9 0.154 0.330 0.500 1
In10 0.846 0.670 0.500 1
Nd1 0.519 0.670 0.000 1
Nd2 0.330 0.157 0.000 1
Nd3 0.830 0.343 0.000 1
Nd4 0.981 0.170 0.000 1
Nd5 0.170 0.657 0.000 1
Nd6 0.481 0.330 0.000 1
Nd7 0.670 0.843 0.000 1
Nd8 0.019 0.830 0.000 1
```

=====

Entry from OQMD: NdScIn after structural relaxation (PBE).

Properties
The value obtained for the uncorrected energy is -4.6674 eV per atom. Its symmetry is F-43m, No. 216. The magnetic moment comes out at 0.221 μB per atom.

The structure in CIF format:
```
data_NdScIn
_chemical_formula_sum 'Nd1 Sc1 In1'
_space_group_name_H-M_alt 'P 1'
_space_group_IT_number 1
_space_group_name_Hall 'P 1'
_cell_length_a 5.117
_cell_length_b 5.117
_cell_length_c 5.117
_cell_angle_alpha 60.00
_cell_angle_beta 60.00
_cell_angle_gamma 60.00
loop_
_atom_site_label
_atom_site_fract_x
_atom_site_fract_y
_atom_site_fract_z
_atom_site_occupancy
Sc1 0.750 0.750 0.750 1
Nd1 0.250 0.250 0.250 1
In1 0.000 0.000 0.000 1
```

=====

Entry from OQMD: NdScZn2In2 after structural relaxation (PBE).

Properties
The value obtained for the uncorrected energy is -3.6173 eV per atom. Its symmetry is P3m1, No. 156. The magnetic moment comes out at 0.003 μB per atom.

The structure in CIF format:
```
data_NdScZn2In2
_chemical_formula_sum 'Nd1 Sc1 Zn2 In2'
_space_group_name_H-M_alt 'P 1'
_space_group_IT_number 1
_space_group_name_Hall 'P 1'
_cell_length_a 4.632
_cell_length_b 4.632
_cell_length_c 7.251
_cell_angle_alpha 90.00
_cell_angle_beta 90.00
_cell_angle_gamma 120.00
loop_
_atom_site_label
_atom_site_fract_x
_atom_site_fract_y
_atom_site_fract_z
_atom_site_occupancy
Sc1 0.000 0.000 0.021 1
In1 0.667 0.333 0.811 1
In2 0.333 0.667 0.274 1
Nd1 0.000 0.000 0.520 1
Zn1 0.667 0.333 0.205 1
Zn2 0.333 0.667 0.739 1
```

=====

Entry from OQMD: Nd3InSe6 after structural relaxation (PBE).

Properties
The value obtained for the uncorrected energy is -5.3525 eV per atom. Its symmetry is Pnnm, No. 58. The magnetic moment comes out at 0.000 μB per atom.

The structure in CIF format:
```
data_Nd3InSe6
_chemical_formula_sum 'Nd12 In4 Se24'
_space_group_name_H-M_alt 'P 1'
_space_group_IT_number 1
_space_group_name_Hall 'P 1'
_cell_length_a 14.417
_cell_length_b 17.656
_cell_length_c 4.138
_cell_angle_alpha 90.00
_cell_angle_beta 90.00
_cell_angle_gamma 90.00
loop_
_atom_site_label
_atom_site_fract_x
_atom_site_fract_y
_atom_site_fract_z
_atom_site_occupancy
In1 0.500 0.000 0.500 1
In2 0.000 0.500 0.000 1
In3 0.500 0.500 0.500 1
In4 0.000 0.000 0.000 1
Se1 0.523 0.103 0.000 1
Se2 0.977 0.603 0.500 1
Se3 0.818 0.715 0.000 1
Se4 0.388 0.248 0.500 1
Se5 0.406 0.414 0.000 1
Se6 0.023 0.397 0.500 1
Se7 0.888 0.884 0.000 1
Se8 0.388 0.616 0.500 1
Se9 0.318 0.785 0.500 1
Se10 0.191 0.519 0.000 1
Se11 0.594 0.586 0.000 1
Se12 0.112 0.116 0.000 1
Se13 0.182 0.285 0.000 1
Se14 0.612 0.752 0.500 1
Se15 0.477 0.897 0.000 1
Se16 0.691 0.981 0.500 1
Se17 0.309 0.019 0.500 1
Se18 0.112 0.748 0.000 1
Se19 0.682 0.215 0.500 1
Se20 0.906 0.086 0.500 1
Se21 0.094 0.914 0.500 1
Se22 0.809 0.481 0.000 1
Se23 0.612 0.384 0.500 1
Se24 0.888 0.252 0.000 1
Nd1 0.751 0.106 0.000 1
Nd2 0.813 0.355 0.500 1
Nd3 0.459 0.724 0.000 1
Nd4 0.959 0.776 0.500 1
Nd5 0.187 0.645 0.500 1
Nd6 0.251 0.394 0.500 1
Nd7 0.313 0.145 0.000 1
Nd8 0.541 0.276 0.000 1
Nd9 0.249 0.894 0.000 1
Nd10 0.687 0.855 0.000 1
Nd11 0.749 0.606 0.500 1
Nd12 0.041 0.224 0.500 1
```

=====

Entry from OQMD: Nd3InSe6 after structural relaxation (PBE).

Properties
The value obtained for the uncorrected energy is -5.3467 eV per atom. Its symmetry is Cmc2_1, No. 36. The magnetic moment comes out at 0.000 μB per atom.

The structure in CIF format:
```
data_Nd3InSe6
_chemical_formula_sum 'Nd6 In2 Se12'
_space_group_name_H-M_alt 'P 1'
_space_group_IT_number 1
_space_group_name_Hall 'P 1'
_cell_length_a 9.224
_cell_length_b 9.224
_cell_length_c 7.065
_cell_angle_alpha 90.00
_cell_angle_beta 90.00
_cell_angle_gamma 102.55
loop_
_atom_site_label
_atom_site_fract_x
_atom_site_fract_y
_atom_site_fract_z
_atom_site_occupancy
Nd1 0.096 0.904 0.612 1
Nd2 0.782 0.587 0.015 1
Nd3 0.413 0.218 0.015 1
Nd4 0.218 0.413 0.515 1
Nd5 0.587 0.782 0.515 1
Nd6 0.904 0.096 0.112 1
Se1 0.597 0.058 0.289 1
Se2 0.279 0.721 0.351 1
Se3 0.403 0.942 0.789 1
Se4 0.130 0.194 0.815 1
Se5 0.721 0.279 0.851 1
Se6 0.466 0.534 0.825 1
Se7 0.806 0.870 0.815 1
Se8 0.534 0.466 0.325 1
Se9 0.942 0.403 0.289 1
Se10 0.058 0.597 0.789 1
Se11 0.870 0.806 0.315 1
Se12 0.194 0.130 0.315 1
In1 0.702 0.298 0.486 1
In2 0.298 0.702 0.986 1
```

=====

Entry from OQMD: NdSmIn after structural relaxation (PBE).

Properties
The value obtained for the uncorrected energy is -4.1769 eV per atom. Its symmetry is F-43m, No. 216. The magnetic moment comes out at 0.298 μB per atom.

The structure in CIF format:
```
data_NdSmIn
_chemical_formula_sum 'Nd1 Sm1 In1'
_space_group_name_H-M_alt 'P 1'
_space_group_IT_number 1
_space_group_name_Hall 'P 1'
_cell_length_a 5.344
_cell_length_b 5.344
_cell_length_c 5.344
_cell_angle_alpha 60.00
_cell_angle_beta 60.00
_cell_angle_gamma 60.00
loop_
_atom_site_label
_atom_site_fract_x
_atom_site_fract_y
_atom_site_fract_z
_atom_site_occupancy
Sm1 0.750 0.750 0.750 1
In1 0.000 0.000 0.000 1
Nd1 0.250 0.250 0.250 1
```

=====

Entry from OQMD: Nd4SmIn5 after structural relaxation (PBE).

Properties
The value obtained for the uncorrected energy is -4.2410 eV per atom. Its symmetry is P4/mmm, No. 123. The magnetic moment comes out at 0.001 μB per atom.

The structure in CIF format:
```
data_Nd4SmIn5
_chemical_formula_sum 'Nd4 Sm1 In5'
_space_group_name_H-M_alt 'P 1'
_space_group_IT_number 1
_space_group_name_Hall 'P 1'
_cell_length_a 3.862
_cell_length_b 3.862
_cell_length_c 19.263
_cell_angle_alpha 90.00
_cell_angle_beta 90.00
_cell_angle_gamma 90.00
loop_
_atom_site_label
_atom_site_fract_x
_atom_site_fract_y
_atom_site_fract_z
_atom_site_occupancy
In1 0.500 0.500 0.097 1
In2 0.500 0.500 0.500 1
In3 0.500 0.500 0.701 1
In4 0.500 0.500 0.299 1
In5 0.500 0.500 0.903 1
Nd1 0.000 0.000 0.601 1
Nd2 0.000 0.000 0.802 1
Nd3 0.000 0.000 0.399 1
Nd4 0.000 0.000 0.198 1
Sm1 0.000 0.000 0.000 1
```

=====

Entry from OQMD: Nd2SmIn after structural relaxation (PBE).

Properties
The value obtained for the uncorrected energy is -4.5244 eV per atom. Its symmetry is P4/mmm, No. 123. The magnetic moment comes out at 0.005 μB per atom.

The structure in CIF format:
```
data_Nd2SmIn
_chemical_formula_sum 'Nd2 Sm1 In1'
_space_group_name_H-M_alt 'P 1'
_space_group_IT_number 1
_space_group_name_Hall 'P 1'
_cell_length_a 4.955
_cell_length_b 4.955
_cell_length_c 4.978
_cell_angle_alpha 90.00
_cell_angle_beta 90.00
_cell_angle_gamma 90.00
loop_
_atom_site_label
_atom_site_fract_x
_atom_site_fract_y
_atom_site_fract_z
_atom_site_occupancy
In1 0.000 0.000 0.000 1
Nd1 0.000 0.500 0.500 1
Nd2 0.500 0.000 0.500 1
Sm1 0.500 0.500 0.000 1
```

=====

Entry from OQMD: Nd6InSn after structural relaxation (PBE).

Properties
The value obtained for the uncorrected energy is -4.7867 eV per atom. Its symmetry is P4/mmm, No. 123. The magnetic moment comes out at 0.015 μB per atom.

The structure in CIF format:
```
data_Nd6InSn
_chemical_formula_sum 'Nd6 In1 Sn1'
_space_group_name_H-M_alt 'P 1'
_space_group_IT_number 1
_space_group_name_Hall 'P 1'
_cell_length_a 4.970
_cell_length_b 4.970
_cell_length_c 9.923
_cell_angle_alpha 90.00
_cell_angle_beta 90.00
_cell_angle_gamma 90.00
loop_
_atom_site_label
_atom_site_fract_x
_atom_site_fract_y
_atom_site_fract_z
_atom_site_occupancy
In1 0.000 0.000 0.000 1
Nd1 0.500 0.000 0.748 1
Nd2 0.000 0.500 0.252 1
Nd3 0.500 0.500 0.000 1
Nd4 0.000 0.500 0.748 1
Nd5 0.500 0.500 0.500 1
Nd6 0.500 0.000 0.252 1
Sn1 0.000 0.000 0.500 1
```

=====

Entry from OQMD: NdInSn after structural relaxation (PBE).

Properties
The value obtained for the uncorrected energy is -4.0487 eV per atom. Its symmetry is F-43m, No. 216. The magnetic moment comes out at 0.001 μB per atom.

The structure in CIF format:
```
data_NdInSn
_chemical_formula_sum 'Nd1 In1 Sn1'
_space_group_name_H-M_alt 'P 1'
_space_group_IT_number 1
_space_group_name_Hall 'P 1'
_cell_length_a 5.124
_cell_length_b 5.124
_cell_length_c 5.124
_cell_angle_alpha 60.00
_cell_angle_beta 60.00
_cell_angle_gamma 60.00
loop_
_atom_site_label
_atom_site_fract_x
_atom_site_fract_y
_atom_site_fract_z
_atom_site_occupancy
Sn1 0.000 0.000 0.000 1
Nd1 0.250 0.250 0.250 1
In1 0.750 0.750 0.750 1
```